NpGe2Ir | PBE-GGA | optimized geometry

Properties
E_form: -1.6 eV per formula unit
VASP energy: -130.43 eV/cell
Space group: Immm (71)
Density of states at the Fermi level: 40.97 states/eV per cell

```
16
Lattice="-2.169 4.442 8.021 2.169 -4.442 8.021 2.169 4.442 -8.021" Properties=species:S:1:pos:R:3 pbc="T T T"
Np 0.000 0.000 3.293
Np 0.000 2.045 0.000
Np 0.000 6.840 0.000
Np 0.000 0.000 12.749
Ge 2.169 0.000 1.231
Ge 2.169 -1.369 4.817
Ge 0.000 0.000 6.793
Ge 2.169 1.369 4.817
Ge 0.000 3.073 3.204
Ge 0.000 0.000 9.249
Ge 0.000 5.811 3.204
Ge 0.000 4.442 6.790
Ir 2.169 2.237 -2.335
Ir 2.169 2.237 2.335
Ir 0.000 2.205 5.686
Ir 0.000 2.205 10.356
```